{
  "formula": "UAs",
  "functional": "PBE",
  "state": "optimized geometry",
  "lattice_angstrom": [[3.509, 0.000, 0.000], [0.000, 3.509, 0.000], [0.000, 0.000, 3.509]],
  "species": ["As", "U"],
  "frac_coords": [[0.000, 0.000, 0.000], [0.500, 0.500, 0.500]],
  "spacegroup": "Pm-3m, No. 221",
  "total_energy_ev_per_cell": -17.11
}

***

{
  "formula": "UAs",
  "functional": "PBE",
  "state": "optimized geometry",
  "lattice_angstrom": [[-3.588, 0.137, 1.965], [-1.937, 3.574, 0.477], [-3.444, 0.755, -2.078]],
  "species": ["As", "U"],
  "frac_coords": [[0.000, 0.000, 0.000], [0.500, 0.500, 0.500]],
  "spacegroup": "Fm-3m, No. 225",
  "total_energy_ev_per_cell": -17.38
}

***

{
  "formula": "UAsW",
  "functional": "PBE",
  "state": "optimized geometry",
  "lattice_angstrom": [[0.000, 3.240, 3.240], [3.240, 0.000, 3.240], [3.240, 3.240, 0.000]],
  "species": ["As", "U", "W"],
  "frac_coords": [[0.250, 0.250, 0.250], [0.000, 0.000, 0.000], [0.750, 0.750, 0.750]],
  "relative_energy_mev_per_atom": 460,
  "spacegroup": "F-43m, No. 216",
  "total_energy_ev_per_cell": -25.90
}

***

{
  "formula": "UAsW",
  "functional": "PBE",
  "state": "optimized geometry",
  "lattice_angstrom": [[0.000, 3.174, 3.174], [3.174, 0.000, 3.174], [3.174, 3.174, 0.000]],
  "species": ["As", "U", "W"],
  "frac_coords": [[0.000, 0.000, 0.000], [0.250, 0.250, 0.250], [0.750, 0.750, 0.750]],
  "relative_energy_mev_per_atom": 0,
  "spacegroup": "F-43m, No. 216",
  "total_energy_ev_per_cell": -27.28
}

***

{
  "formula": "YUAs",
  "functional": "PBE",
  "state": "optimized geometry",
  "lattice_angstrom": [[1.269, -3.892, 2.594], [-2.903, -1.610, 3.532], [-2.406, -4.171, -0.553]],
  "species": ["As", "U", "Y"],
  "frac_coords": [[0.000, 0.000, 0.000], [0.250, 0.250, 0.250], [0.750, 0.750, 0.750]],
  "spacegroup": "F-43m, No. 216",
  "total_energy_ev_per_cell": -22.85
}

***

{
  "formula": "UZnAs",
  "functional": "PBE",
  "state": "optimized geometry",
  "lattice_angstrom": [[0.000, 3.248, 3.248], [3.248, 0.000, 3.248], [3.248, 3.248, 0.000]],
  "species": ["As", "U", "Zn"],
  "frac_coords": [[0.000, 0.000, 0.000], [0.250, 0.250, 0.250], [0.750, 0.750, 0.750]],
  "spacegroup": "F-43m, No. 216",
  "total_energy_ev_per_cell": -16.89
}